Compound: Er2FeCo
Source: the Alexandria database
Functional: PBE
Structure: optimized geometry

Values from the calculation:
crystal system	tetragonal
calculated formation energy	-0.09	eV per formula unit

Cell lengths 3.3293, 3.3293, 6.7274 Å; angles 90.00, 90.00, 90.00 degrees
Last column: nearest neighbours and their distance in Å.
Fractional positions:
Er (0.0000, 0.0000, 0.2439)  4 Co 2.87, 4 Fe 2.92
Er (0.0000, 0.0000, 0.7561)  4 Co 2.87, 4 Fe 2.92
Fe (0.5000, 0.5000, 0.5000)  8 Er 2.92
Co (0.5000, 0.5000, 0.0000)  8 Er 2.87

---

Compound: Er2Fe12Co5
Source: the Alexandria database
Functional: PBE
Structure: optimized geometry

Values from the calculation:
crystal system	trigonal
calculated formation energy	-1.02	eV per formula unit

Cell lengths 6.3607, 6.3607, 6.3607 Å; angles 82.57, 82.57, 82.57 degrees
Last column: nearest neighbours and their distance in Å.
Fractional positions:
Er (0.1564, 0.1564, 0.1564)  15 Fe 2.95-3.19, 4 Co 3.10-3.26
Er (0.8436, 0.8436, 0.8436)  15 Fe 2.95-3.19, 4 Co 3.10-3.26
Fe (0.1609, 0.1609, 0.6538)  3 Co 2.41-2.59, 6 Fe 2.47-2.58
Fe (0.1609, 0.6538, 0.1609)  3 Co 2.41-2.59, 6 Fe 2.47-2.58
Fe (0.2005, 0.5000, 0.7995)  2 Co 2.43, 6 Fe 2.51-2.58
Fe (0.2005, 0.7995, 0.5000)  2 Co 2.43, 6 Fe 2.51-2.58
Fe (0.3462, 0.8391, 0.8391)  3 Co 2.41-2.59, 6 Fe 2.47-2.58
Fe (0.5000, 0.2005, 0.7995)  2 Co 2.43, 6 Fe 2.51-2.58
Fe (0.5000, 0.7995, 0.2005)  2 Co 2.43, 6 Fe 2.51-2.58
Fe (0.6538, 0.1609, 0.1609)  3 Co 2.41-2.59, 6 Fe 2.47-2.58
Fe (0.7995, 0.2005, 0.5000)  2 Co 2.43, 6 Fe 2.51-2.58
Fe (0.7995, 0.5000, 0.2005)  2 Co 2.43, 6 Fe 2.51-2.58
Fe (0.8391, 0.3462, 0.8391)  3 Co 2.41-2.59, 6 Fe 2.47-2.58
Fe (0.8391, 0.8391, 0.3462)  3 Co 2.41-2.59, 6 Fe 2.47-2.58
Co (0.0000, 0.5000, 0.5000)  8 Fe 2.41-2.43, 2 Co 2.59
Co (0.4070, 0.4070, 0.4070)  1 Co 2.30
Co (0.5000, 0.0000, 0.5000)  8 Fe 2.41-2.43, 2 Co 2.59
Co (0.5000, 0.5000, 0.0000)  8 Fe 2.41-2.43, 2 Co 2.59
Co (0.5930, 0.5930, 0.5930)  1 Co 2.30

---

Compound: Er2FeCo3
Source: the Alexandria database
Functional: PBE
Structure: optimized geometry

Values from the calculation:
crystal system	hexagonal
calculated formation energy	-1.28	eV per formula unit

Cell lengths 5.1344, 5.1344, 8.0374 Å; angles 90.00, 90.00, 120.00 degrees
Last column: nearest neighbours and their distance in Å.
Fractional positions:
Er (0.3333, 0.6667, 0.0618)  9 Co 2.91-2.98, 3 Fe 3.01, 4 Er 3.03-3.13
Er (0.3333, 0.6667, 0.4382)  9 Co 2.91-2.98, 3 Fe 3.01, 4 Er 3.03-3.13
Er (0.6667, 0.3333, 0.5618)  9 Co 2.91-2.98, 3 Fe 3.01, 4 Er 3.03-3.13
Er (0.6667, 0.3333, 0.9382)  9 Co 2.91-2.98, 3 Fe 3.01, 4 Er 3.03-3.13
Fe (0.0000, 0.0000, 0.0000)  6 Co 2.50
Fe (0.0000, 0.0000, 0.5000)  6 Co 2.50
Co (0.1678, 0.3357, 0.7500)  2 Fe 2.50, 4 Co 2.55-2.59
Co (0.1678, 0.8322, 0.7500)  2 Fe 2.50, 4 Co 2.55-2.59
Co (0.3357, 0.1678, 0.2500)  2 Fe 2.50, 4 Co 2.55-2.59
Co (0.6643, 0.8322, 0.7500)  2 Fe 2.50, 4 Co 2.55-2.59
Co (0.8322, 0.1678, 0.2500)  2 Fe 2.50, 4 Co 2.55-2.59
Co (0.8322, 0.6643, 0.2500)  2 Fe 2.50, 4 Co 2.55-2.59

---

Compound: ErFe2Co9
Source: the Alexandria database
Functional: PBE
Structure: optimized geometry

Values from the calculation:
crystal system	tetragonal
calculated formation energy	-1.03	eV per formula unit

Cell lengths 7.9972, 7.9972, 4.6709 Å; angles 90.00, 90.00, 90.00 degrees
Last column: nearest neighbours and their distance in Å.
Fractional positions:
Er (0.0000, 0.0000, 0.0000)  16 Co 2.94-3.14, 4 Fe 3.21
Er (0.5000, 0.5000, 0.0000)  16 Co 2.94-3.14, 4 Fe 3.21
Fe (0.1157, 0.3843, 0.0000)  12 Co 2.57-2.74, 1 Fe 2.62
Fe (0.3843, 0.8843, 0.0000)  12 Co 2.57-2.74, 1 Fe 2.62
Fe (0.6157, 0.1157, 0.0000)  12 Co 2.57-2.74, 1 Fe 2.62
Fe (0.8843, 0.6157, 0.0000)  12 Co 2.57-2.74, 1 Fe 2.62
Co (0.0000, 0.5000, 0.5000)  8 Co 2.35-2.37
Co (0.0647, 0.2127, 0.5000)  8 Co 2.35-2.52
Co (0.1789, 0.6789, 0.2346)  4 Co 2.19-2.41
Co (0.1789, 0.6789, 0.7654)  4 Co 2.19-2.41
Co (0.2127, 0.9353, 0.5000)  8 Co 2.35-2.52
Co (0.2873, 0.4353, 0.5000)  8 Co 2.35-2.52
Co (0.3211, 0.1789, 0.2346)  4 Co 2.19-2.41
Co (0.3211, 0.1789, 0.7654)  4 Co 2.19-2.41
Co (0.4353, 0.7127, 0.5000)  8 Co 2.35-2.52
Co (0.5000, 0.0000, 0.5000)  8 Co 2.35-2.37
Co (0.5647, 0.2873, 0.5000)  8 Co 2.35-2.52
Co (0.6789, 0.8211, 0.2346)  4 Co 2.19-2.41
Co (0.6789, 0.8211, 0.7654)  4 Co 2.19-2.41
Co (0.7127, 0.5647, 0.5000)  8 Co 2.35-2.52
Co (0.7873, 0.0647, 0.5000)  8 Co 2.35-2.52
Co (0.8211, 0.3211, 0.2346)  4 Co 2.19-2.41
Co (0.8211, 0.3211, 0.7654)  4 Co 2.19-2.41
Co (0.9353, 0.7873, 0.5000)  8 Co 2.35-2.52

---

Compound: Er2Fe3Co
Source: the Alexandria database
Functional: PBE
Structure: optimized geometry

Values from the calculation:
crystal system	trigonal
calculated formation energy	-1.06	eV per formula unit

Cell lengths 5.1026, 5.1026, 5.1026 Å; angles 60.12, 60.12, 60.12 degrees
Last column: nearest neighbours and their distance in Å.
Fractional positions:
Er (0.1253, 0.1253, 0.1253)  9 Fe 2.99-3.00, 3 Co 3.00, 4 Er 3.13
Er (0.8747, 0.8747, 0.8747)  9 Fe 2.99-3.00, 3 Co 3.00, 4 Er 3.13
Fe (0.0000, 0.5000, 0.5000)  2 Co 2.55, 4 Fe 2.56
Fe (0.5000, 0.0000, 0.5000)  2 Co 2.55, 4 Fe 2.56
Fe (0.5000, 0.5000, 0.0000)  2 Co 2.55, 4 Fe 2.56
Co (0.5000, 0.5000, 0.5000)  6 Fe 2.55

---

Compound: ErFe3Co2
Source: the Alexandria database
Functional: PBE
Structure: optimized geometry

Values from the calculation:
crystal system	hexagonal
calculated formation energy	-0.69	eV per formula unit

Cell lengths 4.9872, 4.9872, 3.9694 Å; angles 90.00, 90.00, 120.00 degrees
Last column: nearest neighbours and their distance in Å.
Fractional positions:
Er (0.0000, 0.0000, 0.0000)  6 Co 2.88, 12 Fe 3.19
Fe (0.0000, 0.5000, 0.5000)  4 Co 2.45, 4 Fe 2.49
Fe (0.5000, 0.0000, 0.5000)  4 Co 2.45, 4 Fe 2.49
Fe (0.5000, 0.5000, 0.5000)  4 Co 2.45, 4 Fe 2.49
Co (0.3333, 0.6667, 0.0000)  6 Fe 2.45
Co (0.6667, 0.3333, 0.0000)  6 Fe 2.45